# 1
# Tl2BPtAu | Alexandria via LeMat-Bulk | PBE | relaxed
# Formation energy from the elements ... 1.09 eV/atom
# Raw total energy ... -3.0594 eV per atom
# SG ... P4/mmm
data_Tl2BPtAu
_space_group_name_H-M_alt 'P 1'
_space_group_IT_number 1
_cell_length_a 5.232
_cell_length_b 5.256
_cell_length_c 5.232
_cell_angle_alpha 90.00
_cell_angle_beta 90.00
_cell_angle_gamma 90.00
loop_
_space_group_symop_operation_xyz
'x,y,z'
loop_
_atom_site_label
_atom_site_type_symbol
_atom_site_fract_x
_atom_site_fract_y
_atom_site_fract_z
B1 B 0.500 0.500 0.500
Tl1 Tl 0.000 0.000 0.500
Au1 Au 0.000 0.500 0.000
Tl2 Tl 0.500 0.000 0.000
Pt1 Pt 0.000 0.000 0.000

# 2
# TlBPt2Au | Alexandria via LeMat-Bulk | PBE | relaxed
# Formation energy from the elements ... 0.13 eV/atom
# Raw total energy ... -4.7520 eV per atom
# SG ... P4/mmm
data_TlBPt2Au
_space_group_name_H-M_alt 'P 1'
_space_group_IT_number 1
_cell_length_a 4.256
_cell_length_b 4.256
_cell_length_c 4.692
_cell_angle_alpha 90.00
_cell_angle_beta 90.00
_cell_angle_gamma 90.00
loop_
_space_group_symop_operation_xyz
'x,y,z'
loop_
_atom_site_label
_atom_site_type_symbol
_atom_site_fract_x
_atom_site_fract_y
_atom_site_fract_z
B1 B 0.000 0.000 0.000
Au1 Au 0.000 0.000 0.500
Tl1 Tl 0.500 0.500 0.500
Pt1 Pt 0.000 0.500 0.000
Pt2 Pt 0.500 0.000 0.000

# 3
# Y3B2Pt9Au | Alexandria via LeMat-Bulk | PBE | relaxed
# Formation energy from the elements ... -0.77 eV/atom
# Raw total energy ... -6.7979 eV per atom
# SG ... P-3m1
data_Y3B2Pt9Au
_space_group_name_H-M_alt 'P 1'
_space_group_IT_number 1
_cell_length_a 5.721
_cell_length_b 5.721
_cell_length_c 9.558
_cell_angle_alpha 90.00
_cell_angle_beta 90.00
_cell_angle_gamma 120.00
loop_
_space_group_symop_operation_xyz
'x,y,z'
loop_
_atom_site_label
_atom_site_type_symbol
_atom_site_fract_x
_atom_site_fract_y
_atom_site_fract_z
Y1 Y 0.667 0.333 0.389
B1 B 0.333 0.667 0.145
Pt1 Pt 0.500 0.000 0.000
Pt2 Pt 0.329 0.165 0.725
Pt3 Pt 0.165 0.835 0.275
Y2 Y 0.333 0.667 0.611
Pt4 Pt 0.835 0.671 0.725
B2 B 0.667 0.333 0.855
Pt5 Pt 0.671 0.835 0.275
Pt6 Pt 0.835 0.165 0.725
Pt7 Pt 0.500 0.500 0.000
Y3 Y 0.000 0.000 0.000
Pt8 Pt 0.165 0.329 0.275
Au1 Au 0.000 0.000 0.500
Pt9 Pt 0.000 0.500 0.000

# 4
# YBPt2Au | Alexandria via LeMat-Bulk | PBE | relaxed
# Formation energy from the elements ... -0.56 eV/atom
# Raw total energy ... -6.2594 eV per atom
# SG ... P4/mmm
data_YBPt2Au
_space_group_name_H-M_alt 'P 1'
_space_group_IT_number 1
_cell_length_a 4.379
_cell_length_b 4.379
_cell_length_c 4.441
_cell_angle_alpha 90.00
_cell_angle_beta 90.00
_cell_angle_gamma 90.00
loop_
_space_group_symop_operation_xyz
'x,y,z'
loop_
_atom_site_label
_atom_site_type_symbol
_atom_site_fract_x
_atom_site_fract_y
_atom_site_fract_z
Pt1 Pt 0.000 0.500 0.000
Au1 Au 0.000 0.000 0.500
Pt2 Pt 0.500 0.000 0.000
B1 B 0.000 0.000 0.000
Y1 Y 0.500 0.500 0.500

# 5
# Zn2BPtAu | Alexandria via LeMat-Bulk | PBE | relaxed
# Formation energy from the elements ... 0.29 eV/atom
# Raw total energy ... -3.4154 eV per atom
# SG ... P4/mmm
data_Zn2BPtAu
_space_group_name_H-M_alt 'P 1'
_space_group_IT_number 1
_cell_length_a 4.877
_cell_length_b 3.998
_cell_length_c 4.877
_cell_angle_alpha 90.00
_cell_angle_beta 90.00
_cell_angle_gamma 90.00
loop_
_space_group_symop_operation_xyz
'x,y,z'
loop_
_atom_site_label
_atom_site_type_symbol
_atom_site_fract_x
_atom_site_fract_y
_atom_site_fract_z
Zn1 Zn 0.000 0.000 0.500
Au1 Au 0.500 0.500 0.500
B1 B 0.000 0.500 0.000
Zn2 Zn 0.500 0.000 0.000
Pt1 Pt 0.000 0.000 0.000

# 6
# Pu2B2Rh5Au | Alexandria via LeMat-Bulk | PBE | relaxed
# Formation energy from the elements ... -0.47 eV/atom
# Raw total energy ... -8.6731 eV per atom
# SG ... P4/mbm
data_Pu2B2Rh5Au
_space_group_name_H-M_alt 'P 1'
_space_group_IT_number 1
_cell_length_a 3.248
_cell_length_b 9.649
_cell_length_c 9.649
_cell_angle_alpha 90.00
_cell_angle_beta 90.00
_cell_angle_gamma 90.00
loop_
_space_group_symop_operation_xyz
'x,y,z'
loop_
_atom_site_label
_atom_site_type_symbol
_atom_site_fract_x
_atom_site_fract_y
_atom_site_fract_z
Rh1 Rh 0.500 0.929 0.228
Rh2 Rh 0.500 0.728 0.429
B1 B 0.000 0.379 0.121
B2 B 0.000 0.621 0.879
B3 B 0.000 0.121 0.621
Au1 Au 0.000 0.000 0.000
Rh3 Rh 0.500 0.272 0.571
Rh4 Rh 0.500 0.429 0.272
Pu1 Pu 0.000 0.178 0.322
Rh5 Rh 0.500 0.772 0.929
Rh6 Rh 0.500 0.000 0.500
Pu2 Pu 0.000 0.822 0.678
B4 B 0.000 0.879 0.379
Rh7 Rh 0.500 0.228 0.071
Pu3 Pu 0.000 0.322 0.822
Rh8 Rh 0.500 0.571 0.728
Rh9 Rh 0.500 0.500 0.000
Pu4 Pu 0.000 0.678 0.178
Rh10 Rh 0.500 0.071 0.772
Au2 Au 0.000 0.500 0.500

# 7
# RbB2Au | Alexandria via LeMat-Bulk | PBE | relaxed
# Formation energy from the elements ... 0.80 eV/atom
# Raw total energy ... -3.5963 eV per atom
# SG ... I4_1/amd
data_RbB2Au
_space_group_name_H-M_alt 'P 1'
_space_group_IT_number 1
_cell_length_a 5.643
_cell_length_b 5.643
_cell_length_c 7.108
_cell_angle_alpha 66.62
_cell_angle_beta 66.62
_cell_angle_gamma 90.00
loop_
_space_group_symop_operation_xyz
'x,y,z'
loop_
_atom_site_label
_atom_site_type_symbol
_atom_site_fract_x
_atom_site_fract_y
_atom_site_fract_z
B1 B 0.875 0.625 0.250
B2 B 0.375 0.125 0.750
Rb1 Rb 0.500 0.500 0.000
B3 B 0.875 0.125 0.250
Au1 Au 0.000 0.000 0.000
Rb2 Rb 0.250 0.750 0.500
B4 B 0.875 0.125 0.750
Au2 Au 0.750 0.250 0.500

# 8
# RbB2Au | Alexandria via LeMat-Bulk | PBE | relaxed
# Formation energy from the elements ... 1.87 eV/atom
# Raw total energy ... -2.5333 eV per atom
# SG ... Fm-3m
data_RbB2Au
_space_group_name_H-M_alt 'P 1'
_space_group_IT_number 1
_cell_length_a 4.614
_cell_length_b 4.614
_cell_length_c 4.614
_cell_angle_alpha 60.00
_cell_angle_beta 60.00
_cell_angle_gamma 60.00
loop_
_space_group_symop_operation_xyz
'x,y,z'
loop_
_atom_site_label
_atom_site_type_symbol
_atom_site_fract_x
_atom_site_fract_y
_atom_site_fract_z
B1 B 0.750 0.750 0.750
Rb1 Rb 0.000 0.000 0.000
Au1 Au 0.500 0.500 0.500
B2 B 0.250 0.250 0.250

Question: Look up the raw total energy of the third one.
Answer: -6.7979 eV per atom